(1)
A plane-wave DFT calculation with GGA-PBE was carried out for a geometry-optimized MgP2SO structure.

Structure (CIF):
```
data_MgP2SO
_space_group_name_H-M_alt 'P 4/m m m'
_space_group_IT_number 123
_space_group_name_Hall '-P 4 2'
_cell_length_a 4.827
_cell_length_b 4.827
_cell_length_c 4.536
_cell_angle_alpha 90.00
_cell_angle_beta 90.00
_cell_angle_gamma 90.00
loop_
_atom_site_label
_atom_site_fract_x
_atom_site_fract_y
_atom_site_fract_z
Mg1 0.000 0.000 0.000
P1 0.000 0.500 0.000
S1 0.000 0.000 0.500
O1 0.500 0.500 0.500
```

E	-2.95	eV/atom
theoretical density	2.11	g/cm³
energy relative to the lowest polymorph listed for this composition	1.2739	eV per atom

(2)
A plane-wave DFT calculation with GGA-PBE was carried out for a geometry-optimized Ti2CdS structure.

Structure (CIF):
```
data_Ti2CdS
_space_group_name_H-M_alt 'F m -3 m'
_space_group_IT_number 225
_space_group_name_Hall '-F 4 2 3'
_cell_length_a 6.455
_cell_length_b 6.455
_cell_length_c 6.455
_cell_angle_alpha 90.00
_cell_angle_beta 90.00
_cell_angle_gamma 90.00
loop_
_atom_site_label
_atom_site_fract_x
_atom_site_fract_y
_atom_site_fract_z
Ti1 0.250 0.250 0.250
Cd1 0.000 0.000 0.000
S1 0.000 0.000 0.500
```

E	-5.26	eV/atom
theoretical density	5.93	g/cm³
energy relative to the lowest polymorph listed for this composition	0.6258	eV per atom

(3)
A plane-wave DFT calculation with GGA-PBE was carried out for a geometry-optimized HRuRh2 structure.

Structure (CIF):
```
data_HRuRh2
_space_group_name_H-M_alt 'F m -3 m'
_space_group_IT_number 225
_space_group_name_Hall '-F 4 2 3'
_cell_length_a 5.882
_cell_length_b 5.882
_cell_length_c 5.882
_cell_angle_alpha 90.00
_cell_angle_beta 90.00
_cell_angle_gamma 90.00
loop_
_atom_site_label
_atom_site_fract_x
_atom_site_fract_y
_atom_site_fract_z
H1 0.000 0.000 0.000
Ru1 0.000 0.000 0.500
Rh1 0.250 0.250 0.250
```

E	-6.14	eV/atom
theoretical density	10.05	g/cm³
energy relative to the lowest polymorph listed for this composition	0.6468	eV per atom

(4)
A plane-wave DFT calculation with GGA-PBE was carried out for a geometry-optimized Mo4Os2N structure.

Structure (CIF):
```
data_Mo4Os2N
_space_group_name_H-M_alt 'I 4/m m m'
_space_group_IT_number 139
_space_group_name_Hall '-I 4 2'
_cell_length_a 4.064
_cell_length_b 4.064
_cell_length_c 12.840
_cell_angle_alpha 90.00
_cell_angle_beta 90.00
_cell_angle_gamma 90.00
loop_
_atom_site_label
_atom_site_fract_x
_atom_site_fract_y
_atom_site_fract_z
Mo1 0.000 0.000 0.171
Mo2 0.000 0.500 0.000
Os1 0.000 0.000 0.358
N1 0.000 0.000 0.000
```

E	-10.29	eV/atom
theoretical density	12.19	g/cm³
energy relative to the lowest polymorph listed for this composition	0.2461	eV per atom

(5)
A plane-wave DFT calculation with GGA-PBE was carried out for a geometry-optimized MnIrAu structure.

Structure (CIF):
```
data_MnIrAu
_space_group_name_H-M_alt 'F -4 3 m'
_space_group_IT_number 216
_space_group_name_Hall 'F -4 2 3'
_cell_length_a 5.903
_cell_length_b 5.903
_cell_length_c 5.903
_cell_angle_alpha 90.00
_cell_angle_beta 90.00
_cell_angle_gamma 90.00
loop_
_atom_site_label
_atom_site_fract_x
_atom_site_fract_y
_atom_site_fract_z
Mn1 0.000 0.000 0.000
Ir1 0.250 0.250 0.750
Au1 0.250 0.250 0.250
```

E	-6.71	eV/atom
theoretical density	14.34	g/cm³
energy relative to the lowest polymorph listed for this composition	0.3344	eV per atom
E_form	0.390	eV/atom

(6)
A plane-wave DFT calculation with GGA-PBE was carried out for a geometry-optimized Mg5Te7 structure.

Structure (CIF):
```
data_Mg5Te7
_space_group_name_H-M_alt 'I 4 m m'
_space_group_IT_number 107
_space_group_name_Hall 'I 4 -2'
_cell_length_a 12.418
_cell_length_b 12.418
_cell_length_c 6.719
_cell_angle_alpha 90.00
_cell_angle_beta 90.00
_cell_angle_gamma 90.00
loop_
_atom_site_label
_atom_site_fract_x
_atom_site_fract_y
_atom_site_fract_z
Mg1 0.000 0.000 0.000
Mg2 0.133 0.133 0.328
Te1 0.000 0.000 0.587
Te2 0.000 0.256 0.100
Te3 0.000 0.500 0.152
```

E	-2.73	eV/atom
theoretical density	3.25	g/cm³

(7)
A plane-wave DFT calculation with GGA-PBE was carried out for a geometry-optimized Zr2ScTa structure.

Structure (CIF):
```
data_Zr2ScTa
_space_group_name_H-M_alt 'P m m 2'
_space_group_IT_number 25
_cell_length_a 3.116
_cell_length_b 4.421
_cell_length_c 6.334
_cell_angle_alpha 90.00
_cell_angle_beta 90.00
_cell_angle_gamma 90.00
loop_
_space_group_symop_operation_xyz
'x,y,z'
'-x,-y,z'
'-x,y,z'
'x,-y,z'
loop_
_atom_site_label
_atom_site_fract_x
_atom_site_fract_y
_atom_site_fract_z
Zr1 0.000 0.000 0.000
Zr2 0.500 0.500 0.267
Sc1 0.000 0.000 0.523
Ta1 0.500 0.500 0.760
```

E	-8.66	eV/atom
theoretical density	7.77	g/cm³
E_form	0.163	eV/atom

(8)
A plane-wave DFT calculation with GGA-PBE was carried out for a geometry-optimized Be2ReF structure.

Structure (CIF):
```
data_Be2ReF
_space_group_name_H-M_alt 'I -4 2 d'
_space_group_IT_number 122
_space_group_name_Hall 'I -4 2bw'
_cell_length_a 5.139
_cell_length_b 5.139
_cell_length_c 6.486
_cell_angle_alpha 90.00
_cell_angle_beta 90.00
_cell_angle_gamma 90.00
loop_
_atom_site_label
_atom_site_fract_x
_atom_site_fract_y
_atom_site_fract_z
Be1 0.143 0.250 0.125
Re1 0.000 0.000 0.500
F1 0.000 0.000 0.000
```

E	-5.61	eV/atom
theoretical density	8.66	g/cm³
energy relative to the lowest polymorph listed for this composition	0.8353	eV per atom

(9)
A plane-wave DFT calculation with GGA-PBE was carried out for a geometry-optimized Ac2PdS structure.

Structure (CIF):
```
data_Ac2PdS
_space_group_name_H-M_alt 'P 4/m m m'
_space_group_IT_number 123
_space_group_name_Hall '-P 4 2'
_cell_length_a 3.754
_cell_length_b 3.754
_cell_length_c 7.639
_cell_angle_alpha 90.00
_cell_angle_beta 90.00
_cell_angle_gamma 90.00
loop_
_atom_site_label
_atom_site_fract_x
_atom_site_fract_y
_atom_site_fract_z
Ac1 0.000 0.000 0.250
Pd1 0.500 0.500 0.000
S1 0.500 0.500 0.500
```

E	-5.50	eV/atom
theoretical density	9.14	g/cm³
energy relative to the lowest polymorph listed for this composition	0.2051	eV per atom

(10)
A plane-wave DFT calculation with GGA-PBE was carried out for a geometry-optimized NaHfH2O4 structure.

Structure (CIF):
```
data_NaHfH2O4
_space_group_name_H-M_alt 'I 2 2 2'
_space_group_IT_number 23
_cell_length_a 4.805
_cell_length_b 5.142
_cell_length_c 5.761
_cell_angle_alpha 90.00
_cell_angle_beta 90.00
_cell_angle_gamma 90.00
loop_
_space_group_symop_operation_xyz
'x,y,z'
'-x,-y,z'
'x,-y,-z'
'-x,y,-z'
'x+1/2,y+1/2,z+1/2'
'-x+1/2,-y+1/2,z+1/2'
'x+1/2,-y+1/2,-z+1/2'
'-x+1/2,y+1/2,-z+1/2'
loop_
_atom_site_label
_atom_site_fract_x
_atom_site_fract_y
_atom_site_fract_z
Na1 0.000 0.000 0.000
Hf1 0.000 0.000 0.500
H1 0.000 0.500 0.218
O1 0.197 0.353 0.221
```

E	-6.40	eV/atom
theoretical density	6.24	g/cm³

(11)
A plane-wave DFT calculation with GGA-PBE was carried out for a geometry-optimized LaTb2Ho6 structure.

Structure (CIF):
```
data_LaTb2Ho6
_space_group_name_H-M_alt 'P 1 2/m 1'
_space_group_IT_number 10
_cell_length_a 5.634
_cell_length_b 3.481
_cell_length_c 14.890
_cell_angle_alpha 90.00
_cell_angle_beta 100.86
_cell_angle_gamma 90.00
loop_
_space_group_symop_operation_xyz
'x,y,z'
'-x,-y,-z'
'-x,y,-z'
'x,-y,z'
loop_
_atom_site_label
_atom_site_fract_x
_atom_site_fract_y
_atom_site_fract_z
La1 0.000 0.000 0.000
Tb1 0.333 0.000 0.666
Ho1 0.113 0.500 0.226
Ho2 0.223 0.500 0.446
Ho3 0.443 0.500 0.886
```

E	-4.55	eV/atom
theoretical density	8.37	g/cm³
energy relative to the lowest polymorph listed for this composition	0.0000	eV per atom
E_form	0.073	eV/atom

(12)
A plane-wave DFT calculation with GGA-PBE was carried out for a geometry-optimized V2Rh4W structure.

Structure (CIF):
```
data_V2Rh4W
_space_group_name_H-M_alt 'I 4/m m m'
_space_group_IT_number 139
_space_group_name_Hall '-I 4 2'
_cell_length_a 4.793
_cell_length_b 4.793
_cell_length_c 11.701
_cell_angle_alpha 90.00
_cell_angle_beta 90.00
_cell_angle_gamma 90.00
loop_
_atom_site_label
_atom_site_fract_x
_atom_site_fract_y
_atom_site_fract_z
V1 0.000 0.000 0.091
Rh1 0.000 0.000 0.297
Rh2 0.000 0.500 0.000
W1 0.000 0.000 0.500
```

E	-7.73	eV/atom
theoretical density	8.62	g/cm³
energy relative to the lowest polymorph listed for this composition	0.8732	eV per atom
E_form	0.926	eV/atom

Which of these has the lowest E?
Mo4Os2N